1.
Material: In7Sn5Bi
Method: DFT, PBE-GGA
State: optimized geometry

Lattice parameters (Å, degrees): 5.6323 8.6634 8.6634 81.40 69.50 69.50
Element x y z (fractional)
In 0.6233 0.3462 0.3462
In 0.4420 0.6068 0.6068
In 0.0248 0.3645 0.6383
In 0.0248 0.6383 0.3645
In 0.3350 0.1938 0.1938
In 0.5610 0.7944 0.2067
In 0.5610 0.2067 0.7944
Sn 0.3468 0.9880 0.6192
Sn 0.9467 0.9962 0.4403
Sn 0.3468 0.6192 0.9880
Sn 0.9467 0.4403 0.9962
Sn 0.8283 0.8011 0.8011
Bi 0.0128 0.0045 0.0045

Summary:
Total magnetization = 0.00 μB/f.u.
Total energy = -3.258 eV/atom
Space group = No. 8

***

2.
Material: Tc2PBr
Method: DFT, PBE-GGA
State: optimized geometry

Lattice parameters (Å, degrees): 4.2136 3.0498 6.6354 83.70 90.00 90.00
Element x y z (fractional)
Br 0.0000 0.4615 0.4035
P 0.5000 0.8909 0.8908
Tc 0.0000 0.8208 0.0353
Tc 0.5000 0.3269 0.1704

Summary:
Total magnetization = 0.00 μB/f.u.
Space group = No. 6
Energy above the lowest structure with this stoichiometry = 87 kJ/mol of formula units

***

3.
Material: CdMo2Se
Method: DFT, PBE-GGA
State: optimized geometry

Lattice parameters (Å, degrees): 4.5572 4.5572 4.5572 60.00 60.00 60.00
Element x y z (fractional)
Mo 0.2500 0.2500 0.2500
Mo 0.7500 0.7500 0.7500
Se 0.0000 0.0000 0.0000
Cd 0.5000 0.5000 0.5000

Summary:
Total magnetization = 0.00 μB/f.u.
Space group = No. 225
Energy above the lowest structure with this stoichiometry = 191 kJ/mol of formula units